Record 1
# ErH2F5

An optimized crystal structure of ErH2F5 (PBE, the Alexandria database).

- Uncorrected energy: -0.198 Ha/atom
- Size of the total moment: 0.07 μB per cell

Unit cell a=5.086 b=5.088 c=5.087 alpha=128.42 beta=100.92 gamma=100.92
Fractional positions:
H  0.500  0.403  0.903
H  0.500  0.903  0.403
Er  0.000  0.903  0.903
F  0.723  0.573  0.956
F  0.616  0.849  0.573
F  0.277  0.233  0.849
F  0.384  0.956  0.233
F  0.000  0.403  0.403

Record 2
# ErHF

An optimized crystal structure of ErHF (PBE, the Alexandria database).

- Size of the total moment: 0.00 μB per cell
- Energy relative to the lowest polymorph listed for this composition: 0 meV per atom

Unit cell a=3.658 b=3.658 c=7.437 alpha=75.76 beta=75.76 gamma=60.00
Fractional positions:
Er  0.084  0.084  0.749
Er  0.916  0.916  0.251
H  0.412  0.412  0.764
H  0.588  0.588  0.236
F  0.200  0.200  0.399
F  0.800  0.800  0.601